[1]
Computed, not measured: a relaxed Zn2SnPd2 crystal at the GGA-PBE level of DFT.

Formation energy from the elements in eV/atom: -0.3371
M_tot in μB/f.u.: 0.00

Cell: 3.5453 3.5453 7.2535 Å, 75.85 75.85 90.00°
Positions (direct):
1 Zn 0.7500 0.2500 0.5000
2 Zn 0.2500 0.7500 0.5000
3 Sn 0.0000 0.0000 0.0000
4 Pd 0.3968 0.3968 0.2063
5 Pd 0.6032 0.6032 0.7937

***

[2]
Computed, not measured: a relaxed BeSbOF2 crystal at the GGA-PBE level of DFT.

Formation energy from raw total energies in eV per atom: -1.69
M_tot in μB/f.u.: 0.00

Cell: 4.3104 4.3104 3.0595 Å, 90.00 90.00 90.00°
Positions (direct):
1 Sb 0.5000 0.5000 0.5000
2 Be 0.0000 0.0000 0.0000
3 O 0.0000 0.0000 0.5000
4 F 0.0000 0.5000 0.0000
5 F 0.5000 0.0000 0.0000

***

[3]
Computed, not measured: a relaxed LaSiNi2 crystal at the GGA-PBE level of DFT.

Formation energy from raw total energies in eV per atom: -0.57
M_tot in μB/f.u.: 0.00

Cell: 4.0320 4.0320 5.6180 Å, 69.48 69.48 59.99°
Positions (direct):
1 Ni 0.0552 0.0552 0.8385
2 Ni 0.7520 0.7520 0.7462
3 Si 0.4468 0.4468 0.6610
4 La 0.2459 0.2459 0.2543

***

[4]
Computed, not measured: a relaxed LaTaHgW2 crystal at the GGA-PBE level of DFT.

Formation energy from the elements in eV/atom: 1.2698
M_tot in μB/f.u.: 0.00

Cell: 4.8542 5.4059 4.8542 Å, 90.00 90.00 90.00°
Positions (direct):
1 La 0.5000 0.5000 0.5000
2 Hg 0.0000 0.5000 0.0000
3 W 0.0000 0.0000 0.5000
4 W 0.5000 0.0000 0.0000
5 Ta 0.0000 0.0000 0.0000

***

[5]
Computed, not measured: a relaxed SrBi2Cl crystal at the GGA-PBE level of DFT.

Formation energy from raw total energies in eV per atom: -0.26
M_tot in μB/f.u.: 0.00

Cell: 5.6671 5.6671 5.6671 Å, 60.00 60.00 60.00°
Positions (direct):
1 Sr 0.5000 0.5000 0.5000
2 Bi 0.2500 0.2500 0.2500
3 Bi 0.7500 0.7500 0.7500
4 Cl 0.0000 0.0000 0.0000

***

[6]
Computed, not measured: a relaxed Cr2RePb crystal at the GGA-PBE level of DFT.

Formation energy from the elements in eV/atom: 0.7222
M_tot in μB/f.u.: 3.21

Cell: 4.6988 4.6988 4.6988 Å, 127.61 127.61 77.26°
Each line ends with the local moment (μB).
Positions (direct):
1 Cr 0.0000 0.0000 0.0000  1.95
2 Cr 0.5000 0.5000 0.0000  1.95
3 Pb 0.2500 0.7500 0.5000  -0.06
4 Re 0.7500 0.2500 0.5000  -0.78

***

[7]
Computed, not measured: a relaxed Pr8Ge3PbI4 crystal at the GGA-PBE level of DFT.

Formation energy from raw total energies in eV per atom: -0.97
M_tot in μB/f.u.: 0.00

Cell: 8.9204 9.2878 8.9216 Å, 118.71 120.00 90.00°
Positions (direct):
1 Pr 0.2431 0.7058 0.9628
2 Pr 0.2431 0.7058 0.4862
3 Pr 0.2671 0.3012 0.5341
4 Pr 0.7197 0.7058 0.9628
5 Pr 0.2803 0.2942 0.0372
6 Pr 0.7329 0.6988 0.4659
7 Pr 0.7569 0.2942 0.5138
8 Pr 0.7569 0.2942 0.0372
9 Ge 0.5000 0.5000 0.0000
10 Ge 0.5000 0.5000 0.5000
11 Ge 0.0000 0.5000 0.5000
12 Pb 0.0000 0.5000 0.0000
13 I 0.5000 0.0000 0.0000
14 I 0.5000 0.0000 0.5000
15 I 0.0000 0.0000 0.0000
16 I 0.0000 0.0000 0.5000

***

[8]
Computed, not measured: a relaxed Ag7Au3 crystal at the GGA-PBE level of DFT.

Formation energy from the elements in eV/atom: -0.0257
M_tot in μB/f.u.: 0.00

Cell: 4.1223 5.9386 7.7607 Å, 101.43 105.40 90.00°
Positions (direct):
1 Ag 0.0000 0.5000 0.0000
2 Ag 0.8000 0.9003 0.6000
3 Ag 0.2000 0.0997 0.4000
4 Ag 0.6001 0.2996 0.2001
5 Ag 0.3999 0.7004 0.7999
6 Ag 0.5999 0.7996 0.1999
7 Ag 0.4001 0.2004 0.8001
8 Au 0.0000 0.0000 0.0000
9 Au 0.8003 0.3990 0.6006
10 Au 0.1997 0.6010 0.3994

***

[9]
Computed, not measured: a relaxed RbBa2Mg2 crystal at the GGA-PBE level of DFT.

Formation energy from the elements in eV/atom: 0.0789
M_tot in μB/f.u.: 0.00

Cell: 10.2455 10.2455 4.7845 Å, 90.00 90.00 90.00°
Positions (direct):
1 Mg 0.3818 0.8818 0.0000
2 Mg 0.8818 0.6182 0.0000
3 Mg 0.6182 0.1182 0.0000
4 Mg 0.1182 0.3818 0.0000
5 Ba 0.1625 0.6625 0.5000
6 Ba 0.6625 0.8375 0.5000
7 Ba 0.8375 0.3375 0.5000
8 Ba 0.3375 0.1625 0.5000
9 Rb 0.0000 0.0000 0.0000
10 Rb 0.5000 0.5000 0.0000

***

[10]
Computed, not measured: a relaxed Li2Te4Ir crystal at the GGA-PBE level of DFT.

Formation energy from raw total energies in eV per atom: -0.05
M_tot in μB/f.u.: 0.00

Cell: 5.4670 5.4670 7.6784 Å, 69.15 69.15 90.00°
Positions (direct):
1 Ir 0.0000 0.0000 0.0000
2 Te 0.1928 0.1928 0.6143
3 Te 0.8072 0.8072 0.3857
4 Te 0.0000 0.5000 0.0000
5 Te 0.5000 0.0000 0.0000
6 Li 0.3982 0.3982 0.2035
7 Li 0.6018 0.6018 0.7965

***

[11]
Computed, not measured: a relaxed Pm2Dy3Tl crystal at the GGA-PBE level of DFT.

Formation energy from the elements in eV/atom: -0.0995
M_tot in μB/f.u.: 0.00

Cell: 4.9258 4.8837 8.0319 Å, 107.70 90.00 90.00°
Positions (direct):
1 Pm 0.0000 0.6623 0.3245
2 Pm 0.0000 0.3377 0.6755
3 Dy 0.5000 0.1661 0.3322
4 Dy 0.5000 0.5000 0.0000
5 Dy 0.5000 0.8339 0.6678
6 Tl 0.0000 0.0000 0.0000

***

[12]
Computed, not measured: a relaxed BaLiMg2In crystal at the GGA-PBE level of DFT.

Formation energy from the elements in eV/atom: -0.0719
M_tot in μB/f.u.: 0.00

Cell: 5.2486 5.2486 5.2179 Å, 90.00 90.00 90.00°
Positions (direct):
1 Mg 0.0000 0.5000 0.0000
2 Mg 0.5000 0.0000 0.0000
3 Li 0.0000 0.0000 0.0000
4 Ba 0.5000 0.5000 0.5000
5 In 0.0000 0.0000 0.5000

***

[13]
Computed, not measured: a relaxed Sc2Os2C crystal at the GGA-PBE level of DFT.

Formation energy from the elements in eV/atom: 0.1237
M_tot in μB/f.u.: 0.00

Cell: 5.7147 5.7147 4.6383 Å, 90.00 90.00 90.00°
Positions (direct):
1 Sc 0.1634 0.6634 0.5000
2 Sc 0.6634 0.8366 0.5000
3 Sc 0.8366 0.3366 0.5000
4 Sc 0.3366 0.1634 0.5000
5 C 0.0000 0.0000 0.0000
6 C 0.5000 0.5000 0.0000
7 Os 0.3313 0.8313 0.0000
8 Os 0.8313 0.6687 0.0000
9 Os 0.6687 0.1687 0.0000
10 Os 0.1687 0.3313 0.0000

***

[14]
Computed, not measured: a relaxed BaSi2W crystal at the GGA-PBE level of DFT.

Formation energy from raw total energies in eV per atom: 0.81
M_tot in μB/f.u.: 1.78

Cell: 4.9020 4.9020 4.9020 Å, 60.00 60.00 60.00°
Each line ends with the local moment (μB).
Positions (direct):
1 Si 0.2500 0.2500 0.2500  -0.04
2 Si 0.7500 0.7500 0.7500  -0.04
3 Ba 0.0000 0.0000 0.0000  0.06
4 W 0.5000 0.5000 0.5000  1.37

***

[15]
Computed, not measured: a relaxed Tm6IrPb crystal at the GGA-PBE level of DFT.

Formation energy from the elements in eV/atom: -0.1810
M_tot in μB/f.u.: 0.00

Cell: 6.7841 6.7942 7.5348 Å, 63.27 63.33 60.02°
Positions (direct):
1 Tm 0.0364 0.4192 0.7590
2 Tm 0.7846 0.0359 0.7591
3 Tm 0.5810 0.2148 0.2411
4 Tm 0.2154 0.9641 0.2409
5 Tm 0.9636 0.5808 0.2410
6 Tm 0.4190 0.7852 0.7589
7 Ir 0.0000 0.0000 0.0000
8 Pb 0.5000 0.5000 0.5000

***

[16]
Computed, not measured: a relaxed ZnTc3O crystal at the GGA-PBE level of DFT.

Formation energy from raw total energies in eV per atom: 0.09
M_tot in μB/f.u.: 1.22

Cell: 4.0647 4.0647 4.0647 Å, 90.00 90.00 90.00°
Each line ends with the local moment (μB).
Positions (direct):
1 Zn 0.5000 0.5000 0.5000  -0.01
2 Tc 0.0000 0.5000 0.0000  0.42
3 Tc 0.0000 0.0000 0.5000  0.39
4 Tc 0.5000 0.0000 0.0000  0.38
5 O 0.0000 0.0000 0.0000  -0.02

***

[17]
Computed, not measured: a relaxed CaSmHg4 crystal at the GGA-PBE level of DFT.

Formation energy from the elements in eV/atom: -0.4129
M_tot in μB/f.u.: 0.00

Cell: 3.9478 5.6923 7.9987 Å, 100.91 75.71 69.71°
Positions (direct):
1 Ca 0.0000 0.0000 0.0000
2 Sm 0.5000 0.5000 0.5000
3 Hg 0.8352 0.4953 0.8343
4 Hg 0.3338 0.9987 0.3338
5 Hg 0.1648 0.5047 0.1657
6 Hg 0.6662 0.0013 0.6662

***

[18]
Computed, not measured: a relaxed CdPd2Au crystal at the GGA-PBE level of DFT.

Formation energy from the elements in eV/atom: -0.2644
M_tot in μB/f.u.: 0.00

Cell: 3.3408 3.3408 6.1405 Å, 90.00 90.00 90.00°
Positions (direct):
1 Au 0.5000 0.5000 0.0000
2 Pd 0.0000 0.0000 0.7518
3 Pd 0.0000 0.0000 0.2482
4 Cd 0.5000 0.5000 0.5000

***

[19]
Computed, not measured: a relaxed BaSmZn2Pd2 crystal at the GGA-PBE level of DFT.

Formation energy from the elements in eV/atom: -0.6020
M_tot in μB/f.u.: 0.00

Cell: 4.5261 4.5261 8.1878 Å, 90.00 90.00 120.00°
Positions (direct):
1 Ba 0.0000 0.0000 0.0000
2 Sm 0.0000 0.0000 0.5000
3 Zn 0.6667 0.3333 0.7073
4 Zn 0.3333 0.6667 0.2927
5 Pd 0.6667 0.3333 0.3015
6 Pd 0.3333 0.6667 0.6985

***

[20]
Computed, not measured: a relaxed Ca2ErUN4 crystal at the GGA-PBE level of DFT.

Formation energy from raw total energies in eV per atom: -1.43
M_tot in μB/f.u.: 0.98

Cell: 3.5111 5.9595 6.0120 Å, 108.91 90.00 90.00°
Each line ends with the local moment (μB).
Positions (direct):
1 Ca 0.5000 0.0000 0.5000  0.01
2 Ca 0.0000 0.5000 0.5000  0.01
3 Er 0.0000 0.0000 0.0000  0.03
4 U 0.5000 0.5000 0.0000  0.93
5 N 0.5000 0.2601 0.2139  -0.02
6 N 0.5000 0.7399 0.7861  -0.02
7 N 0.0000 0.2711 0.7827  -0.03
8 N 0.0000 0.7289 0.2173  -0.03